No. 1
DFT (PBE) results for a relaxed Na5B8C2 crystal.

a b c (Å): 7.8271 7.8271 9.1532
angles (deg): 107.85 107.85 37.45
Positions (direct):
Na 0.0494 0.0494 0.2486
Na 0.1499 0.1494 0.7499
Na 0.2454 0.2543 0.2506
Na 0.3452 0.3537 0.7517
Na 0.4499 0.4485 0.2474
Na 0.5515 0.5501 0.7526
Na 0.6463 0.6548 0.2483
Na 0.7457 0.7546 0.7494
Na 0.8506 0.8501 0.2501
Na 0.9506 0.9506 0.7514
B 0.0140 0.3895 0.4992
B 0.1105 0.5047 0.0000
B 0.1694 0.8306 0.5000
B 0.2368 0.5590 0.5022
B 0.3362 0.6638 0.0000
B 0.3517 0.0395 0.4984
B 0.4410 0.7632 0.4978
B 0.4785 0.1190 0.0009
B 0.4953 0.8895 0.0000
B 0.5923 0.2271 0.5011
B 0.6105 0.9860 0.5008
B 0.7409 0.0707 0.0006
B 0.7729 0.4077 0.4989
B 0.8810 0.5215 0.9991
B 0.9293 0.2591 0.9994
B 0.9605 0.6483 0.5016
C 0.0771 0.7332 0.0006
C 0.2668 0.9229 0.9994
C 0.6726 0.3274 0.0000
C 0.8448 0.1552 0.5000

Properties
**DFT formation energy**: 0.201 eV per atom
**Energy relative to the lowest polymorph listed for this composition**: 0.0311 eV per atom
**Crystal system**: monoclinic
**Space group**: C2, No. 5

---

No. 2
DFT (PBE) results for a relaxed NaBC crystal.

a b c (Å): 4.0201 4.0201 7.5365
angles (deg): 90.00 90.00 138.63
Positions (direct):
Na 0.0059 0.0059 0.0000
Na 0.9941 0.9941 0.5000
B 0.2560 0.7440 0.2500
B 0.7440 0.2560 0.7500
C 0.2536 0.7464 0.7500
C 0.7464 0.2536 0.2500

Properties
**DFT formation energy**: 0.097 eV per atom
**Crystal system**: orthorhombic
**Space group**: C222_1, No. 20

---

No. 3
DFT (PBE) results for a relaxed Na5B9C crystal.

a b c (Å): 13.6720 13.6720 8.7456
angles (deg): 90.00 90.00 168.24
Positions (direct):
Na 0.0000 0.0000 0.0000
Na 0.0000 0.0000 0.5000
Na 0.2002 0.7998 0.0005
Na 0.2002 0.7998 0.4995
Na 0.3997 0.6003 0.5014
Na 0.3997 0.6003 0.9986
Na 0.6003 0.3997 0.0014
Na 0.6003 0.3997 0.4986
Na 0.7998 0.2002 0.9995
Na 0.7998 0.2002 0.5005
B 0.0685 0.9315 0.2500
B 0.0748 0.9252 0.7500
B 0.1304 0.8696 0.2500
B 0.2666 0.7334 0.7500
B 0.2738 0.7262 0.2500
B 0.3288 0.6712 0.7500
B 0.3378 0.6622 0.2500
B 0.4658 0.5342 0.2500
B 0.4726 0.5274 0.7500
B 0.5274 0.4726 0.2500
B 0.5342 0.4658 0.7500
B 0.6622 0.3378 0.7500
B 0.6712 0.3288 0.2500
B 0.7262 0.2738 0.7500
B 0.7334 0.2666 0.2500
B 0.8696 0.1304 0.7500
B 0.9252 0.0748 0.2500
B 0.9315 0.0685 0.7500
C 0.1320 0.8680 0.7500
C 0.8680 0.1320 0.2500

Properties
**DFT formation energy**: 0.241 eV per atom
**Energy relative to the lowest polymorph listed for this composition**: 0.0047 eV per atom
**Crystal system**: orthorhombic
**Space group**: Cmcm, No. 63

---

No. 4
DFT (PBE) results for a relaxed Na5B8C2 crystal.

a b c (Å): 8.6558 13.2564 13.2564
angles (deg): 12.23 90.00 90.00
Positions (direct):
Na 0.2462 0.0000 0.0000
Na 0.2492 0.5989 0.5989
Na 0.2497 0.3982 0.3982
Na 0.2500 0.7969 0.7969
Na 0.2521 0.1972 0.1972
Na 0.7479 0.1972 0.1972
Na 0.7503 0.3982 0.3982
Na 0.7500 0.7969 0.7969
Na 0.7508 0.5989 0.5989
Na 0.7538 0.0000 0.0000
B 0.0000 0.0703 0.0703
B 0.0000 0.1358 0.1358
B 0.0000 0.2631 0.2631
B 0.0000 0.3257 0.3257
B 0.0000 0.4687 0.4687
B 0.0000 0.5333 0.5333
B 0.0000 0.7239 0.7239
B 0.0000 0.8667 0.8667
B 0.0000 0.9295 0.9295
B 0.5000 0.0686 0.0686
B 0.5000 0.2561 0.2561
B 0.5000 0.3249 0.3249
B 0.5000 0.4771 0.4771
B 0.5000 0.6619 0.6619
B 0.5000 0.8683 0.8683
B 0.5000 0.9331 0.9331
C 0.0000 0.6649 0.6649
C 0.5000 0.1307 0.1307
C 0.5000 0.5367 0.5367
C 0.5000 0.7250 0.7250

Properties
**DFT formation energy**: 0.186 eV per atom
**Energy relative to the lowest polymorph listed for this composition**: 0.0159 eV per atom
**Crystal system**: orthorhombic
**Space group**: Amm2, No. 38